# 1
A relaxed AlRe2Ru crystal, computed with PBE-GGA.

a = 2.7935 Å, b = 4.0704 Å, c = 5.1254 Å
α = 90.00°, β = 90.00°, γ = 90.00°
Last column: nearest neighbours and their distance in Å.
Space group Pmmm (No. 47)
Asymmetric unit:
1 Al 0.0000 0.0000 0.0000  2 Ru 2.56, 8 Re 2.75, 2 Al 2.79
2 Re 0.5000 0.5000 0.2381  2 Re 2.44-2.69
3 Ru 0.0000 0.0000 0.5000  2 Al 2.56, 2 Ru 2.79, 8 Re 2.81

Results
The total magnetization is 0.000 μB/f.u. Its total energy is -38.21 eV for the cell shown. The formation energy comes out at -74 meV/atom.

# 2
A relaxed AlRe2Ru crystal, computed with PBE-GGA.

a = 3.6991 Å, b = 3.6991 Å, c = 8.5000 Å
α = 90.00°, β = 90.00°, γ = 90.00°
Last column: nearest neighbours and their distance in Å.
Space group I4/mmm (No. 139)
Asymmetric unit:
1 Al 0.0000 0.0000 0.0000  4 Ru 2.62, 8 Re 2.82
2 Re 0.0000 0.5000 0.2500  4 Re 2.62, 4 Ru 2.82, 4 Al 2.82
3 Ru 0.0000 0.0000 0.5000  4 Al 2.62, 8 Re 2.82

Results
The total magnetization is 0.000 μB/f.u. Its total energy is -76.32 eV for the cell shown. The formation energy comes out at -61 meV/atom.

# 3
A relaxed Al2ReRu crystal, computed with PBE-GGA.

a = 2.8240 Å, b = 2.8240 Å, c = 25.1421 Å
α = 90.00°, β = 90.00°, γ = 120.00°
Last column: nearest neighbours and their distance in Å.
Space group R-3m (No. 166, hexagonal axes)
Asymmetric unit:
1 Al 0.0000 0.0000 0.2468  3 Ru 2.59, 3 Re 2.72, 6 Al 2.82
2 Re 0.0000 0.0000 0.0000  6 Al 2.72, 6 Re 2.82
3 Ru 0.0000 0.0000 0.5000  6 Al 2.59, 6 Ru 2.82

Results
The total magnetization is 0.000 μB/f.u. Its total energy is -89.95 eV for the cell shown. The formation energy comes out at -194 meV/atom.